Entry 1:
First-principles (PBE) data for a relaxed structure of Sr6PN2Cl3, as listed in Alexandria.

It has space group C2/m (No. 12), with a = 7.067 Å, b = 12.243 Å, c = 7.561 Å, α = 90.00°, β = 108.26° and γ = 90.00°. The asymmetric unit holds Sr at (0.202, 0.000, 0.198), Sr at (0.248, 0.318, 0.197), P at (0.000, 0.500, 0.000), N at (0.000, 0.167, 0.000), Cl at (0.000, 0.000, 0.500) and Cl at (0.000, 0.335, 0.500).

The density comes out at 3.69 g/cm3. As for the spin magnetization: 0.0 μB/f.u. As for the formation energy from raw total energies: -1.484 eV per atom. The value obtained for the total DFT energy (no corrections) is -4.625 eV per atom.

---

Entry 2:
First-principles (PBE) data for a relaxed structure of K3RhF8, as listed in Alexandria.

It has space group Pm-3m (No. 221), with a = 5.812 Å, b = 5.812 Å, c = 5.812 Å, α = 90.00°, β = 90.00° and γ = 90.00°. The asymmetric unit holds K at (0.000, 0.000, 0.500), Rh at (0.500, 0.500, 0.500) and F at (0.297, 0.297, 0.297).

Its distance to the lowest polymorph of the same formula is 14.7 meV per atom. The density comes out at 3.15 g/cm3. As for the spin magnetization: 0.2 μB/f.u. As for the formation energy from raw total energies: -2.062 eV per atom. The value obtained for the total DFT energy (no corrections) is -4.197 eV per atom.

---

Entry 3:
First-principles (PBE) data for a relaxed structure of B3HF, as listed in Alexandria.

It has space group Pm-3m (No. 221), with a = 3.272 Å, b = 3.272 Å, c = 3.272 Å, α = 90.00°, β = 90.00° and γ = 90.00°. The asymmetric unit holds B at (0.000, 0.000, 0.500), H at (0.000, 0.000, 0.000) and F at (0.500, 0.500, 0.500).

Its distance to the lowest polymorph of the same formula is 0.0 meV per atom. The density comes out at 2.49 g/cm3. As for the spin magnetization: 0.0 μB/f.u. The value obtained for the total DFT energy (no corrections) is -3.451 eV per atom.

---

Sequential DOS(E_F) output: 0.0, 0.0, 0.8 states/eV/cell